## DyHo2Hf (GGA-PBE)

Data for a relaxed DyHo2Hf crystal.

It has space group R-3m (No. 166, hexagonal axes), with a = 3.3258 Å, b = 3.3258 Å, c = 35.8315 Å, α = 90.00°, β = 90.00° and γ = 120.00°. Symmetry generates all atoms from Dy at (0.0000, 0.0000, 0.0000), Ho at (0.0000, 0.0000, 0.4134) and Hf at (0.0000, 0.0000, 0.5000).

The calculation puts the energy above the most stable polymorph in this dataset at 0.2537 eV/atom. The value obtained for the calculated formation energy is 1.43 eV per formula unit. The value obtained for the volume is 28.603 Å³/atom.

=====

## K2TlBi2Rh2 (GGA-PBE)

Data for a relaxed K2TlBi2Rh2 crystal.

It has space group I4/mmm (No. 139), with a = 5.093 Å, b = 5.093 Å, c = 17.298 Å, α = 90.00°, β = 90.00° and γ = 90.00°. Symmetry generates all atoms from K at (0.000, 0.000, 0.186), Tl at (0.000, 0.000, 0.000), Bi at (0.000, 0.000, 0.409) and Rh at (0.000, 0.500, 0.000).

The value obtained for the calculated formation energy is -0.05 eV per formula unit. The value obtained for the volume is 32.053 Å³/atom.

=====

## Sc3SiNi9Ge2 (GGA-PBE)

Data for a relaxed Sc3SiNi9Ge2 crystal.

It has space group P-3m1 (No. 164), with a = 6.0158 Å, b = 6.0158 Å, c = 7.7411 Å, α = 90.00°, β = 90.00° and γ = 120.00°. Symmetry generates all atoms from Sc at (0.0000, 0.0000, 0.0000), Sc at (0.3333, 0.6667, 0.7107), Si at (0.0000, 0.0000, 0.5000), Ni at (0.0000, 0.5000, 0.0000), Ni at (0.1323, 0.2646, 0.2761) and Ge at (0.3333, 0.6667, 0.2029).

The formation energy from raw total energies comes out at -0.162 eV per atom. The value obtained for the volume is 16.175 Å³/atom.

=====

## SrMo2Os (GGA-PBE)

Data for a relaxed SrMo2Os crystal.

It has space group Immm (No. 71), with a = 2.967 Å, b = 5.160 Å, c = 10.339 Å, α = 90.00°, β = 90.00° and γ = 90.00°. Symmetry generates all atoms from Sr at (0.000, 0.000, 0.000), Mo at (0.000, 0.500, 0.206) and Os at (0.000, 0.000, 0.500).

The calculation puts the energy above the most stable polymorph in this dataset at 0.1835 eV/atom. The value obtained for the calculated formation energy is 3.23 eV per formula unit. The value obtained for the volume is 19.789 Å³/atom.

=====

## Ac6PmPb4 (GGA-PBE)

Data for a relaxed Ac6PmPb4 crystal.

It has space group I-42m (No. 121), with a = 8.589 Å, b = 8.589 Å, c = 12.929 Å, α = 90.00°, β = 90.00° and γ = 90.00°. Symmetry generates all atoms from Ac at (0.000, 0.500, 0.000), Ac at (0.159, 0.159, 0.331), Pm at (0.000, 0.000, 0.000) and Pb at (0.230, 0.230, 0.596).

The value obtained for the calculated formation energy is -2.16 eV per formula unit. The value obtained for the volume is 43.352 Å³/atom.

=====

## SrLiCo2 (GGA-PBE)

Data for a relaxed SrLiCo2 crystal.

It has space group Imm2 (No. 44), with a = 3.934 Å, b = 5.101 Å, c = 7.810 Å, α = 90.00°, β = 90.00° and γ = 90.00°. Symmetry generates all atoms from Sr at (0.000, 0.000, 0.000), Li at (0.000, 0.500, 0.193), Co at (0.000, 0.000, 0.432) and Co at (0.000, 0.500, 0.796).

The calculation puts the energy above the most stable polymorph in this dataset at 0.2242 eV/atom. The value obtained for the calculated formation energy is 1.67 eV per formula unit. The value obtained for the volume is 19.594 Å³/atom.

=====

Values for E, eV/atom, ordered as above
-5.57 -3.87 -5.87 -7.84 -4.22 -4.04
Values for size of the total moment, μB/f.u., ordered as above
0.00 0.00 0.00 0.00 0.00 2.61